12
Lattice="5.891 -2.898 0.000 5.891 2.898 0.000 -5.881 0.000 11.570" Properties=species:S:1:pos:R:3 comment="PBE Sm4Dy7Sc, optimized geometry" relative_energy_ev_per_atom=0.186 magnetic_moment_mub_per_atom=0.0224 delta_e_f_ev_per_atom=0.29 dos_ef_per_ev_atom=1.73 pbc="T T T"
Sm 0.089 0.000 3.208
Sm -2.197 0.000 9.197
Sm 8.098 0.000 2.373
Sm 5.812 0.000 8.362
Dy -2.941 0.000 5.785
Dy 1.637 0.000 0.134
Dy 0.074 0.000 6.716
Dy 4.586 0.000 1.694
Dy 1.315 0.000 9.877
Dy 5.828 0.000 4.855
Dy 4.265 0.000 11.436
Sc 2.951 0.000 5.785